Record 1
{
  "formula": "LiAgAu6",
  "functional": "PBE",
  "state": "relaxed",
  "lattice": [[-0.262, -3.114, 3.711], [0.292, -4.412, -3.682], [4.889, 2.146, 2.146]],
  "species": ["Au", "Au", "Au", "Au", "Au", "Au", "Ag", "Li"],
  "fractional_positions": [[0.000, 0.584, 0.915], [0.000, 0.085, 0.416], [0.500, 0.918, 0.082], [0.000, 0.584, 0.416], [0.500, 0.410, 0.082], [0.500, 0.918, 0.590], [0.500, 0.416, 0.584], [0.000, 0.085, 0.915]],
  "sg": "Amm2 (38)",
  "delta_e_f_kj_per_mol_atoms": -16,
  "n_ef_per_ev_fu": 3.82
}



Record 2
{
  "formula": "Li2Ag2Au7",
  "functional": "PBE",
  "state": "relaxed",
  "lattice": [[-4.660, 0.450, -1.949], [1.561, -2.576, -5.561], [-5.800, -5.059, 1.121]],
  "species": ["Li", "Li", "Au", "Au", "Au", "Au", "Au", "Au", "Au", "Ag", "Ag"],
  "fractional_positions": [[0.527, 0.267, 0.733], [0.473, 0.733, 0.267], [0.172, 0.581, 0.082], [0.666, 0.340, 0.339], [0.334, 0.660, 0.661], [0.832, 0.914, 0.418], [0.828, 0.419, 0.918], [0.168, 0.086, 0.582], [0.000, 0.000, 0.000], [0.676, 0.825, 0.823], [0.324, 0.175, 0.177]],
  "sg": "P-1 (2)",
  "delta_e_f_kj_per_mol_atoms": -19,
  "n_ef_per_ev_fu": 2.54
}



Record 3
{
  "formula": "Li4AgAu4",
  "functional": "PBE",
  "state": "relaxed",
  "lattice": [[-0.813, -3.876, 0.775], [4.203, -3.607, -3.124], [3.286, -1.761, 5.151]],
  "species": ["Au", "Au", "Au", "Au", "Li", "Li", "Li", "Li", "Ag"],
  "fractional_positions": [[0.676, 0.324, 0.324], [0.324, 0.676, 0.676], [0.000, 0.324, 0.676], [0.000, 0.676, 0.324], [0.671, 0.658, 0.000], [0.329, 0.000, 0.342], [0.329, 0.342, 0.000], [0.671, 0.000, 0.658], [0.000, 0.000, 0.000]],
  "sg": "I4/mmm (139)",
  "delta_e_f_kj_per_mol_atoms": -40,
  "n_ef_per_ev_fu": 1.62
}



Record 4
{
  "formula": "LiAg2Au",
  "functional": "PBE",
  "state": "relaxed",
  "lattice": [[-0.208, -4.331, -2.458], [3.179, 0.158, -3.837], [0.606, 1.019, 4.842]],
  "species": ["Ag", "Ag", "Au", "Li"],
  "fractional_positions": [[0.750, 0.250, 0.500], [0.000, 0.000, 0.000], [0.500, 0.500, 0.000], [0.250, 0.750, 0.500]],
  "sg": "Imm2 (44)",
  "delta_e_f_kj_per_mol_atoms": -23,
  "n_ef_per_ev_fu": 1.07
}



Record 5
{
  "formula": "LiAg3Au7",
  "functional": "PBE",
  "state": "relaxed",
  "lattice": [[-5.569, 1.077, -4.386], [2.777, -2.754, -4.203], [-3.394, -2.921, 3.593]],
  "species": ["Ag", "Ag", "Ag", "Au", "Au", "Au", "Au", "Au", "Au", "Au", "Li"],
  "fractional_positions": [[0.780, 0.498, 0.502], [0.780, 0.498, 0.996], [0.780, 0.004, 0.502], [0.461, 0.329, 0.164], [0.461, 0.836, 0.164], [0.114, 0.667, 0.333], [0.113, 0.166, 0.333], [0.113, 0.667, 0.834], [0.461, 0.836, 0.671], [0.113, 0.166, 0.834], [0.436, 0.333, 0.667]],
  "sg": "P3m1 (156)",
  "delta_e_f_kj_per_mol_atoms": -7,
  "n_ef_per_ev_fu": 4.77
}



Record 6
{
  "formula": "LiAg14Au",
  "functional": "PBE",
  "state": "relaxed",
  "lattice": [[5.867, -0.360, 0.000], [-2.631, 5.257, 0.000], [0.000, 0.000, 9.488]],
  "species": ["Ag", "Ag", "Ag", "Ag", "Ag", "Ag", "Ag", "Ag", "Ag", "Ag", "Ag", "Ag", "Ag", "Ag", "Li", "Au"],
  "fractional_positions": [[0.041, 0.456, 0.500], [0.544, 0.959, 0.500], [0.209, 0.292, 0.000], [0.708, 0.292, 0.000], [0.708, 0.791, 0.000], [0.375, 0.625, 0.251], [0.877, 0.628, 0.748], [0.372, 0.123, 0.252], [0.372, 0.123, 0.748], [0.876, 0.124, 0.750], [0.877, 0.628, 0.252], [0.876, 0.124, 0.250], [0.375, 0.625, 0.749], [0.209, 0.791, 0.000], [0.041, 0.959, 0.500], [0.542, 0.458, 0.500]],
  "sg": "Amm2 (38)",
  "delta_e_f_kj_per_mol_atoms": -3,
  "n_ef_per_ev_fu": 4.72
}



Record 7
{
  "formula": "Li2Ag2Au",
  "functional": "PBE",
  "state": "relaxed",
  "lattice": [[7.412, 0.000, 0.000], [0.000, 7.412, 0.000], [0.000, 0.000, 3.042]],
  "species": ["Au", "Au", "Li", "Li", "Li", "Li", "Ag", "Ag", "Ag", "Ag"],
  "fractional_positions": [[0.000, 0.000, 0.000], [0.500, 0.500, 0.000], [0.668, 0.832, 0.500], [0.832, 0.332, 0.500], [0.168, 0.668, 0.500], [0.332, 0.168, 0.500], [0.133, 0.367, 0.000], [0.867, 0.633, 0.000], [0.633, 0.133, 0.000], [0.367, 0.867, 0.000]],
  "sg": "P4/mbm (127)",
  "delta_e_f_kj_per_mol_atoms": -18,
  "n_ef_per_ev_fu": 1.08
}



Record 8
{
  "formula": "Li3Ag2Au5",
  "functional": "PBE",
  "state": "relaxed",
  "lattice": [[5.441, 0.000, 0.000], [2.720, 8.029, -1.214], [2.720, 0.039, 8.120]],
  "species": ["Li", "Li", "Li", "Li", "Li", "Li", "Au", "Au", "Au", "Au", "Au", "Au", "Au", "Au", "Au", "Au", "Ag", "Ag", "Ag", "Ag"],
  "fractional_positions": [[0.647, 0.495, 0.212], [0.353, 0.505, 0.788], [0.147, 0.212, 0.495], [0.750, 0.000, 0.000], [0.250, 0.000, 0.000], [0.853, 0.788, 0.505], [0.250, 0.500, 0.500], [0.518, 0.232, 0.232], [0.912, 0.923, 0.253], [0.750, 0.500, 0.500], [0.018, 0.232, 0.232], [0.412, 0.253, 0.923], [0.482, 0.768, 0.768], [0.088, 0.077, 0.747], [0.588, 0.747, 0.077], [0.982, 0.768, 0.768], [0.127, 0.571, 0.175], [0.373, 0.825, 0.429], [0.627, 0.175, 0.571], [0.873, 0.429, 0.825]],
  "sg": "Ibam (72)",
  "delta_e_f_kj_per_mol_atoms": -17,
  "n_ef_per_ev_fu": 1.88
}



Record 9
{
  "formula": "LiAg2Au",
  "functional": "PBE",
  "state": "relaxed",
  "lattice": [[-1.605, 3.209, 1.774], [-2.020, 0.877, -3.414], [-3.200, -2.318, 1.298]],
  "species": ["Li", "Ag", "Ag", "Au"],
  "fractional_positions": [[0.000, 0.500, 0.500], [0.500, 0.500, 0.000], [0.000, 0.000, 0.000], [0.500, 0.000, 0.500]],
  "sg": "Pmmm (47)",
  "delta_e_f_kj_per_mol_atoms": -22,
  "n_ef_per_ev_fu": 1.30
}



Record 10
{
  "formula": "Li10AgAu6",
  "functional": "PBE",
  "state": "relaxed",
  "lattice": [[5.443, 0.000, 0.000], [0.000, 6.643, -3.836], [0.000, 0.000, 7.671]],
  "species": ["Li", "Li", "Li", "Li", "Li", "Li", "Li", "Li", "Li", "Li", "Au", "Au", "Au", "Au", "Au", "Au", "Ag"],
  "fractional_positions": [[0.816, 0.292, 0.000], [0.000, 0.667, 0.333], [0.000, 0.333, 0.667], [0.184, 0.000, 0.708], [0.184, 0.708, 0.000], [0.500, 0.667, 0.333], [0.816, 0.000, 0.292], [0.500, 0.333, 0.667], [0.184, 0.292, 0.292], [0.816, 0.708, 0.708], [0.307, 0.635, 0.635], [0.693, 0.635, 0.000], [0.693, 0.000, 0.635], [0.693, 0.365, 0.365], [0.307, 0.000, 0.365], [0.307, 0.365, 0.000], [0.500, 0.000, 0.000]],
  "sg": "P-31m (162)",
  "delta_e_f_kj_per_mol_atoms": -43,
  "n_ef_per_ev_fu": 4.39
}



Record 11
{
  "formula": "Li3Ag3Au2",
  "functional": "PBE",
  "state": "relaxed",
  "lattice": [[4.159, 0.000, 0.000], [0.000, 4.148, 0.000], [0.000, 0.000, 7.549]],
  "species": ["Au", "Au", "Ag", "Ag", "Ag", "Li", "Li", "Li"],
  "fractional_positions": [[0.000, 0.000, 0.732], [0.000, 0.000, 0.268], [0.500, 0.500, 0.740], [0.500, 0.500, 0.260], [0.500, 0.000, 0.000], [0.000, 0.500, 0.000], [0.000, 0.500, 0.500], [0.500, 0.000, 0.500]],
  "sg": "Pmmm (47)",
  "delta_e_f_kj_per_mol_atoms": -29,
  "n_ef_per_ev_fu": 1.65
}



Record 12
{
  "formula": "LiAg6Au8",
  "functional": "PBE",
  "state": "relaxed",
  "lattice": [[2.885, 0.000, 0.000], [0.000, 10.721, 0.000], [0.000, -5.361, 9.285]],
  "species": ["Au", "Au", "Au", "Au", "Au", "Au", "Au", "Au", "Ag", "Ag", "Ag", "Ag", "Ag", "Ag", "Li"],
  "fractional_positions": [[0.758, 0.667, 0.333], [0.764, 0.070, 0.803], [0.242, 0.333, 0.667], [0.236, 0.930, 0.197], [0.764, 0.197, 0.266], [0.236, 0.803, 0.734], [0.236, 0.266, 0.070], [0.764, 0.734, 0.930], [0.258, 0.629, 0.091], [0.258, 0.462, 0.371], [0.742, 0.371, 0.909], [0.742, 0.538, 0.629], [0.742, 0.091, 0.462], [0.258, 0.909, 0.538], [0.500, 0.000, 0.000]],
  "sg": "P-3 (147)",
  "delta_e_f_kj_per_mol_atoms": 1,
  "n_ef_per_ev_fu": 3.48
}



Record 13
{
  "formula": "Li5Ag2Au5",
  "functional": "PBE",
  "state": "relaxed",
  "lattice": [[4.903, 0.115, 0.320], [2.339, 4.303, 0.883], [-1.263, -0.328, 9.392]],
  "species": ["Au", "Au", "Au", "Au", "Au", "Li", "Li", "Li", "Li", "Li", "Ag", "Ag"],
  "fractional_positions": [[0.338, 0.332, 0.003], [0.602, 0.065, 0.739], [0.398, 0.935, 0.261], [0.662, 0.668, 0.997], [0.500, 0.500, 0.500], [0.715, 0.289, 0.240], [0.285, 0.711, 0.760], [0.000, 0.000, 0.000], [0.178, 0.166, 0.501], [0.822, 0.834, 0.499], [0.066, 0.600, 0.255], [0.934, 0.400, 0.745]],
  "sg": "P-1 (2)",
  "delta_e_f_kj_per_mol_atoms": -38,
  "n_ef_per_ev_fu": 3.03
}



Record 14
{
  "formula": "Li10Ag6Au",
  "functional": "PBE",
  "state": "relaxed",
  "lattice": [[5.537, 0.000, 0.000], [0.000, 6.724, -3.882], [0.000, 0.000, 7.764]],
  "species": ["Li", "Li", "Li", "Li", "Li", "Li", "Li", "Li", "Li", "Li", "Ag", "Ag", "Ag", "Ag", "Ag", "Ag", "Au"],
  "fractional_positions": [[0.500, 0.333, 0.667], [0.813, 0.716, 0.716], [0.000, 0.333, 0.667], [0.813, 0.284, 0.000], [0.187, 0.000, 0.716], [0.500, 0.667, 0.333], [0.187, 0.716, 0.000], [0.813, 0.000, 0.284], [0.187, 0.284, 0.284], [0.000, 0.667, 0.333], [0.681, 0.000, 0.636], [0.319, 0.636, 0.636], [0.319, 0.000, 0.364], [0.681, 0.364, 0.364], [0.319, 0.364, 0.000], [0.681, 0.636, 0.000], [0.500, 0.000, 0.000]],
  "sg": "P-31m (162)",
  "delta_e_f_kj_per_mol_atoms": -18,
  "n_ef_per_ev_fu": 4.28
}



Record 15
{
  "formula": "LiAg6Au2",
  "functional": "PBE",
  "state": "relaxed",
  "lattice": [[-2.440, -1.569, -2.913], [3.020, -5.655, 0.516], [-3.659, 0.925, 5.467]],
  "species": ["Au", "Au", "Li", "Ag", "Ag", "Ag", "Ag", "Ag", "Ag"],
  "fractional_positions": [[0.946, 0.174, 0.891], [0.054, 0.826, 0.109], [0.500, 0.500, 0.000], [0.610, 0.169, 0.220], [0.390, 0.831, 0.780], [0.721, 0.832, 0.442], [0.166, 0.502, 0.332], [0.834, 0.498, 0.668], [0.279, 0.168, 0.558]],
  "sg": "C2/m (12)",
  "delta_e_f_kj_per_mol_atoms": -11,
  "n_ef_per_ev_fu": 1.58
}



Record 16
{
  "formula": "Li3Ag2Au3",
  "functional": "PBE",
  "state": "relaxed",
  "lattice": [[5.305, 0.000, 0.000], [0.000, 7.480, 0.000], [0.000, -3.740, 6.478]],
  "species": ["Ag", "Ag", "Ag", "Ag", "Au", "Au", "Au", "Au", "Au", "Au", "Li", "Li", "Li", "Li", "Li", "Li"],
  "fractional_positions": [[0.500, 0.333, 0.667], [0.000, 0.333, 0.667], [0.000, 0.667, 0.333], [0.500, 0.667, 0.333], [0.250, 0.242, 0.242], [0.750, 0.758, 0.758], [0.750, 0.000, 0.242], [0.750, 0.242, 0.000], [0.250, 0.000, 0.758], [0.250, 0.758, 0.000], [0.750, 0.396, 0.396], [0.250, 0.604, 0.604], [0.750, 0.000, 0.604], [0.250, 0.000, 0.396], [0.250, 0.396, 0.000], [0.750, 0.604, 0.000]],
  "sg": "P6_3/mcm (193)",
  "delta_e_f_kj_per_mol_atoms": -25,
  "n_ef_per_ev_fu": 2.37
}



Record 17
{
  "formula": "Li5AgAu6",
  "functional": "PBE",
  "state": "relaxed",
  "lattice": [[8.171, -0.040, 0.173], [2.229, 3.632, 0.183], [1.250, 2.056, 6.531]],
  "species": ["Au", "Au", "Au", "Au", "Au", "Au", "Li", "Li", "Li", "Li", "Li", "Ag"],
  "fractional_positions": [[0.275, 0.225, 0.999], [0.743, 0.423, 0.658], [0.257, 0.909, 0.658], [0.725, 0.775, 0.001], [0.743, 0.091, 0.342], [0.257, 0.577, 0.342], [0.500, 0.500, 0.000], [0.000, 0.657, 0.678], [0.500, 0.837, 0.336], [0.500, 0.163, 0.664], [0.000, 0.343, 0.322], [0.000, 0.000, 0.000]],
  "sg": "P-1 (2)",
  "delta_e_f_kj_per_mol_atoms": -44,
  "n_ef_per_ev_fu": 1.56
}



Record 18
{
  "formula": "Li2AgAu5",
  "functional": "PBE",
  "state": "relaxed",
  "lattice": [[3.984, 0.000, 0.000], [0.000, 5.825, 0.000], [0.000, 0.000, 11.645]],
  "species": ["Ag", "Ag", "Au", "Au", "Au", "Au", "Au", "Au", "Au", "Au", "Au", "Au", "Li", "Li", "Li", "Li"],
  "fractional_positions": [[0.000, 0.500, 0.000], [0.000, 0.000, 0.500], [0.000, 0.499, 0.751], [0.000, 0.501, 0.249], [0.500, 0.749, 0.876], [0.000, 0.000, 0.000], [0.500, 0.751, 0.376], [0.000, 0.500, 0.500], [0.000, 0.999, 0.749], [0.000, 0.001, 0.251], [0.500, 0.251, 0.124], [0.500, 0.249, 0.624], [0.500, 0.242, 0.872], [0.500, 0.258, 0.372], [0.500, 0.742, 0.628], [0.500, 0.758, 0.128]],
  "sg": "Pbam (55)",
  "delta_e_f_kj_per_mol_atoms": -31,
  "n_ef_per_ev_fu": 2.68
}



Record 19
{
  "formula": "Li8Ag3Au2",
  "functional": "PBE",
  "state": "relaxed",
  "lattice": [[5.155, 0.000, 0.000], [2.578, 4.464, 0.000], [2.578, 1.488, 9.591]],
  "species": ["Ag", "Ag", "Ag", "Li", "Li", "Li", "Li", "Li", "Li", "Li", "Li", "Au", "Au"],
  "fractional_positions": [[0.000, 0.000, 0.000], [0.186, 0.186, 0.441], [0.814, 0.814, 0.559], [0.276, 0.774, 0.673], [0.283, 0.283, 0.152], [0.724, 0.724, 0.327], [0.724, 0.226, 0.327], [0.276, 0.276, 0.673], [0.717, 0.717, 0.848], [0.226, 0.724, 0.327], [0.774, 0.276, 0.673], [0.370, 0.370, 0.889], [0.630, 0.630, 0.111]],
  "sg": "R-3m (166)",
  "delta_e_f_kj_per_mol_atoms": -15,
  "n_ef_per_ev_fu": 4.35
}



Record 20
{
  "formula": "Li4Ag4Au",
  "functional": "PBE",
  "state": "relaxed",
  "lattice": [[-3.854, 0.581, -0.899], [-3.419, -4.678, 2.734], [-2.582, 3.693, 4.554]],
  "species": ["Ag", "Ag", "Ag", "Ag", "Li", "Li", "Li", "Li", "Au"],
  "fractional_positions": [[0.000, 0.671, 0.328], [0.328, 0.672, 0.671], [0.000, 0.329, 0.672], [0.672, 0.328, 0.329], [0.663, 0.675, 0.000], [0.337, 0.000, 0.325], [0.337, 0.325, 0.000], [0.663, 0.000, 0.675], [0.000, 0.000, 0.000]],
  "sg": "I4/mmm (139)",
  "delta_e_f_kj_per_mol_atoms": -25,
  "n_ef_per_ev_fu": 1.92
}



Record 21
{
  "formula": "LiAgAu",
  "functional": "PBE",
  "state": "relaxed",
  "lattice": [[6.153, -0.061, 0.063], [5.487, 2.784, 0.092], [0.666, 0.127, 2.842]],
  "species": ["Au", "Ag", "Li"],
  "fractional_positions": [[0.322, 0.322, 0.678], [0.006, 0.006, 0.994], [0.672, 0.672, 0.328]],
  "sg": "I4mm (107)",
  "delta_e_f_kj_per_mol_atoms": -27,
  "n_ef_per_ev_fu": 0.75
}